[1]
The following is a DFT calculation (PBEsol) of a relaxed HgSbRh2 crystal.

Summary:
E in eV/atom: -5.43
Formation energy from raw total energies in eV/atom: -0.081
Crystal system: monoclinic

extended XYZ file:
```
4
Lattice="3.893 -1.609 0.000 3.893 1.609 0.000 -1.288 0.000 5.676" Properties=species:S:1:pos:R:3 pbc="T T T"
Hg 0.000 0.000 0.000
Sb 3.249 0.000 2.838
Rh 0.978 0.000 4.092
Rh 5.519 0.000 1.584
```

[2]
The following is a DFT calculation (PBEsol) of a relaxed Li2VP2HO8 crystal.

Summary:
E in eV/atom: -7.18
Crystal system: triclinic

extended XYZ file:
```
28
Lattice="4.757 0.000 0.000 -2.175 7.642 0.000 -1.746 -1.627 8.174" Properties=species:S:1:pos:R:3 pbc="T T T"
Li -0.190 2.621 0.957
Li -1.809 5.386 5.918
Li 2.645 0.629 2.255
Li 1.026 3.394 7.216
V -1.836 5.754 2.330
V 2.671 0.261 5.844
P 0.328 1.066 3.658
P 0.160 5.660 0.609
P 0.675 0.355 7.564
P 0.508 4.949 4.515
H -0.283 2.532 5.177
H 1.119 3.483 2.996
O -0.422 -0.081 2.969
O -0.580 4.463 1.274
O -0.610 1.532 4.866
O -1.973 4.182 7.331
O -0.873 0.429 7.413
O -0.870 5.398 3.996
O -0.445 6.818 1.501
O 0.529 2.256 2.719
O 0.307 3.760 5.454
O 1.281 -0.802 6.673
O 1.706 0.617 4.178
O 1.708 5.586 0.761
O 2.809 1.834 0.842
O 1.445 4.483 3.307
O 1.416 1.552 6.899
O 1.257 6.097 5.205
```